(1)
Material: Pm8Cd2Sn
Method: DFT, PBE
State: optimized geometry

Results
The energy of formation from the pure elements is -0.25 eV/atom.

Lattice parameters (Å, degrees): 8.8016 8.8016 8.7568 118.90 118.90 35.88
Last column: nearest neighbours and their distance in Å.
Fractional positions:
1 Pm 0.0683 0.0683 0.2194  1 Cd 3.18, 3 Pm 3.33-3.34
2 Pm 0.1383 0.1383 0.6872  3 Cd 3.23-3.42, 2 Sn 3.40
3 Pm 0.3190 0.3190 0.5476  1 Sn 3.26, 1 Cd 3.31, 4 Pm 3.34-3.38
4 Pm 0.4073 0.4073 0.0508  3 Cd 3.31-3.38, 1 Sn 3.42, 3 Pm 3.57-3.64
5 Pm 0.5927 0.5927 0.9492  3 Cd 3.31-3.38, 1 Sn 3.42, 3 Pm 3.57-3.64
6 Pm 0.6810 0.6810 0.4524  1 Sn 3.26, 1 Cd 3.31, 4 Pm 3.34-3.38
7 Pm 0.8617 0.8617 0.3128  3 Cd 3.23-3.42, 2 Sn 3.40
8 Pm 0.9317 0.9317 0.7806  1 Cd 3.18, 3 Pm 3.33-3.34
9 Cd 0.2229 0.2229 0.1107  8 Pm 3.18-3.42
10 Cd 0.7771 0.7771 0.8893  8 Pm 3.18-3.42
11 Sn 0.5000 0.5000 0.5000  8 Pm 3.26-3.42

(2)
Material: PmCdSn
Method: DFT, PBE
State: optimized geometry

Results
The energy of formation from the pure elements is -0.32 eV/atom. For the offset from the most stable computed form, the calculation gives 191 meV/atom.

Lattice parameters (Å, degrees): 4.9617 4.9617 4.9617 60.00 60.00 60.00
Last column: nearest neighbours and their distance in Å.
Fractional positions:
1 Pm 0.0000 0.0000 0.0000  4 Cd 3.04
2 Cd 0.2500 0.2500 0.2500  4 Sn 3.04, 4 Pm 3.04
3 Sn 0.5000 0.5000 0.5000  4 Cd 3.04

> Look up the energy of formation from the pure elements of the first one.

-0.25 eV/atom

> energy of formation from the pure elements of number 2 (PmCdSn)?

-0.32 eV/atom

> Look up the energy of formation from the pure elements of the first one.

-0.25 eV/atom